1.
# SmTm2Fe

SmTm2Fe after structural relaxation (PBE, Alexandria).

a = 9.9621 Å, b = 9.9621 Å, c = 9.9621 Å
α = 20.34°, β = 20.34°, γ = 20.34°
Last column: nearest neighbours and their distance in Å.
Sites, in units of the cell vectors:
Sm1 0.0000 0.0000 0.0000  6 Sm 3.52, 6 Tm 3.68
Tm1 0.2283 0.2283 0.2283  3 Fe 2.72
Tm2 0.7717 0.7717 0.7717  3 Fe 2.72
Fe1 0.5000 0.5000 0.5000  6 Tm 2.72

V   104.6 Å³ per cell
Symmetry   R-3m (166)
Relative energy among the computed polymorphs   0.586 eV/f.u.
Spin magnetization   1.185 μB/f.u.



2.
# Sm3TmFe8

Sm3TmFe8 after structural relaxation (PBE, Alexandria).

a = 8.9813 Å, b = 8.9813 Å, c = 8.9813 Å
α = 33.54°, β = 33.54°, γ = 33.54°
Last column: nearest neighbours and their distance in Å.
Sites, in units of the cell vectors:
Sm1 0.0000 0.0000 0.0000  12 Fe 3.04-3.07, 4 Sm 3.18
Sm2 0.1253 0.1253 0.1253  12 Fe 3.00-3.04, 3 Tm 3.17, 1 Sm 3.18
Sm3 0.6247 0.6247 0.6247  12 Fe 3.04-3.08, 1 Tm 3.17, 3 Sm 3.18
Tm1 0.5001 0.5001 0.5001  12 Fe 3.01-3.04, 4 Sm 3.17
Fe1 0.0620 0.0620 0.5599  6 Fe 2.56-2.61
Fe2 0.0620 0.5599 0.0620  6 Fe 2.56-2.61
Fe3 0.0661 0.5625 0.5625  6 Fe 2.57-2.62
Fe4 0.3121 0.3121 0.3121  6 Fe 2.61-2.62
Fe5 0.5599 0.0620 0.0620  6 Fe 2.56-2.61
Fe6 0.5625 0.0661 0.5625  6 Fe 2.57-2.62
Fe7 0.5625 0.5625 0.0661  6 Fe 2.57-2.62
Fe8 0.8130 0.8130 0.8130  6 Fe 2.56-2.58

V   197.0 Å³ per cell
Symmetry   R3m (160)
E_tot   -86.54 eV/cell
Spin magnetization   14.836 μB/f.u.



3.
# SmUFe2

SmUFe2 after structural relaxation (PBE, Alexandria).

a = 7.8491 Å, b = 7.8491 Å, c = 7.8491 Å
α = 25.01°, β = 25.01°, γ = 25.01°
Last column: nearest neighbours and their distance in Å.
Sites, in units of the cell vectors:
Sm1 0.0000 0.0000 0.0000  6 Fe 2.97
U1 0.5000 0.5000 0.5000  6 Fe 2.51
Fe1 0.2356 0.2356 0.2356  3 U 2.51
Fe2 0.7644 0.7644 0.7644  3 U 2.51

V   76.1 Å³ per cell
Symmetry   R-3m (166)
E_tot   -32.06 eV/cell
Spin magnetization   0.807 μB/f.u.



4.
# SmUFe4

SmUFe4 after structural relaxation (PBE, Alexandria).

a = 5.1058 Å, b = 5.1058 Å, c = 5.1058 Å
α = 60.00°, β = 60.00°, γ = 60.00°
Last column: nearest neighbours and their distance in Å.
Sites, in units of the cell vectors:
Sm1 0.0000 0.0000 0.0000  12 Fe 2.99, 4 U 3.13
U1 0.7500 0.7500 0.7500  12 Fe 2.99, 4 Sm 3.13
Fe1 0.3754 0.3754 0.3754  6 Fe 2.54-2.56
Fe2 0.3754 0.3754 0.8737  6 Fe 2.54-2.56
Fe3 0.3754 0.8737 0.3754  6 Fe 2.54-2.56
Fe4 0.8737 0.3754 0.3754  6 Fe 2.54-2.56

V   94.1 Å³ per cell
Symmetry   F-43m (216)
Relative energy among the computed polymorphs   0.138 eV/f.u.
Spin magnetization   4.750 μB/f.u.



5.
# Sm3U2Fe4

Sm3U2Fe4 after structural relaxation (PBE, Alexandria).

a = 5.9092 Å, b = 5.9092 Å, c = 8.5562 Å
α = 103.14°, β = 103.14°, γ = 39.33°
Last column: nearest neighbours and their distance in Å.
Sites, in units of the cell vectors:
Sm1 0.0000 0.0000 0.0000  8 Fe 3.22-3.39
Sm2 0.3756 0.3756 0.6208  6 Fe 3.02-3.20, 2 U 3.29-3.34
Sm3 0.6244 0.6244 0.3792  6 Fe 3.02-3.20, 2 U 3.29-3.34
U1 0.3239 0.3239 0.2198  5 Fe 2.35-2.57
U2 0.6761 0.6761 0.7802  5 Fe 2.35-2.57
Fe1 0.0945 0.0945 0.6515  2 U 2.35, 1 Fe 2.54
Fe2 0.2648 0.2648 0.9103  3 U 2.37-2.57, 3 Fe 2.54-2.58
Fe3 0.7352 0.7352 0.0897  3 U 2.37-2.57, 3 Fe 2.54-2.58
Fe4 0.9055 0.9055 0.3485  2 U 2.35, 1 Fe 2.54

V   183.8 Å³ per cell
Symmetry   C2/m (12)
E_tot   -71.75 eV/cell
Spin magnetization   0.000 μB/f.u.



6.
# SmUFe3

SmUFe3 after structural relaxation (PBE, Alexandria).

a = 8.1006 Å, b = 5.5832 Å, c = 8.4877 Å
α = 90.00°, β = 112.33°, γ = 90.00°
Last column: nearest neighbours and their distance in Å.
Sites, in units of the cell vectors:
Sm1 0.1058 0.0923 0.2148  8 Fe 2.96-3.18
Sm2 0.1058 0.4077 0.7148  8 Fe 2.96-3.18
Sm3 0.8942 0.5923 0.2852  8 Fe 2.96-3.18
Sm4 0.8942 0.9077 0.7852  8 Fe 2.96-3.18
U1 0.3815 0.7154 0.0689  3 Fe 2.17-2.42
U2 0.3815 0.7846 0.5689  3 Fe 2.17-2.42
U3 0.6185 0.2154 0.4311  3 Fe 2.17-2.42
U4 0.6185 0.2846 0.9311  3 Fe 2.17-2.42
Fe1 0.1366 0.5709 0.0778  1 U 2.17, 1 Fe 2.25
Fe2 0.1366 0.9291 0.5778  1 U 2.17, 1 Fe 2.25
Fe3 0.3653 0.5056 0.3659  2 U 2.29-2.51, 4 Fe 2.44-2.54
Fe4 0.3653 0.9944 0.8659  2 U 2.29-2.51, 4 Fe 2.44-2.54
Fe5 0.3712 0.2163 0.5841  1 U 2.42, 3 Fe 2.44-2.54
Fe6 0.3712 0.2837 0.0841  1 U 2.42, 3 Fe 2.44-2.54
Fe7 0.6288 0.7163 0.9159  1 U 2.42, 3 Fe 2.44-2.54
Fe8 0.6288 0.7837 0.4159  1 U 2.42, 3 Fe 2.44-2.54
Fe9 0.6347 0.0056 0.1341  2 U 2.29-2.51, 4 Fe 2.44-2.54
Fe10 0.6347 0.4944 0.6341  2 U 2.29-2.51, 4 Fe 2.44-2.54
Fe11 0.8634 0.0709 0.4222  1 U 2.17, 1 Fe 2.25
Fe12 0.8634 0.4291 0.9222  1 U 2.17, 1 Fe 2.25

V   355.1 Å³ per cell
Symmetry   P2_1/c (14)
E_tot   -165.53 eV/cell
Spin magnetization   0.969 μB/f.u.



7.
# SmUFe2

SmUFe2 after structural relaxation (PBE, Alexandria).

a = 3.2436 Å, b = 3.2436 Å, c = 6.9832 Å
α = 90.00°, β = 90.00°, γ = 90.00°
Last column: nearest neighbours and their distance in Å.
Sites, in units of the cell vectors:
Sm1 0.0000 0.0000 0.0000  8 Fe 3.17, 4 Sm 3.24, 2 U 3.49
U1 0.0000 0.0000 0.5000  8 Fe 2.64
Fe1 0.5000 0.5000 0.3130  1 Fe 2.61, 4 U 2.64
Fe2 0.5000 0.5000 0.6870  1 Fe 2.61, 4 U 2.64

V   73.5 Å³ per cell
Symmetry   P4/mmm (123)
E_tot   -32.82 eV/cell
Spin magnetization   0.283 μB/f.u.



8.
# Sm2UFe2

Sm2UFe2 after structural relaxation (PBE, Alexandria).

a = 6.1938 Å, b = 6.1938 Å, c = 7.1189 Å
α = 106.08°, β = 106.08°, γ = 59.97°
Last column: nearest neighbours and their distance in Å.
Sites, in units of the cell vectors:
Sm1 0.0536 0.2612 0.1299  4 Fe 2.84-3.08
Sm2 0.2612 0.0536 0.6299  4 Fe 2.84-3.08
Sm3 0.7388 0.9464 0.3701  4 Fe 2.84-3.08
Sm4 0.9464 0.7388 0.8701  4 Fe 2.84-3.08
U1 0.4955 0.5045 0.2500  2 Fe 2.12
U2 0.5045 0.4955 0.7500  2 Fe 2.12
Fe1 0.2168 0.4908 0.5065  1 U 2.12
Fe2 0.4908 0.2168 0.0065  1 U 2.12
Fe3 0.5092 0.7832 0.9935  1 U 2.12
Fe4 0.7832 0.5092 0.4935  1 U 2.12

V   224.0 Å³ per cell
Symmetry   C2/c (15)
E_tot   -76.41 eV/cell
Spin magnetization   0.000 μB/f.u.



9.
# SmUFe2

SmUFe2 after structural relaxation (PBE, Alexandria).

a = 7.4265 Å, b = 4.3437 Å, c = 9.5880 Å
α = 90.00°, β = 90.00°, γ = 90.00°
Last column: nearest neighbours and their distance in Å.
Sites, in units of the cell vectors:
Sm1 0.0969 0.2500 0.1235  9 Fe 3.02-3.27, 2 U 3.36
Sm2 0.4031 0.7500 0.6235  9 Fe 3.02-3.27, 2 U 3.36
Sm3 0.5969 0.2500 0.3765  9 Fe 3.02-3.27, 2 U 3.36
Sm4 0.9031 0.7500 0.8765  9 Fe 3.02-3.27, 2 U 3.36
U1 0.0577 0.2500 0.6245  2 Fe 2.10-2.11
U2 0.4423 0.7500 0.1245  2 Fe 2.10-2.11
U3 0.5577 0.2500 0.8755  2 Fe 2.10-2.11
U4 0.9423 0.7500 0.3755  2 Fe 2.10-2.11
Fe1 0.1894 0.2500 0.4300  1 U 2.11
Fe2 0.1995 0.2500 0.8139  1 U 2.10
Fe3 0.3005 0.7500 0.3139  1 U 2.10
Fe4 0.3106 0.7500 0.9300  1 U 2.11
Fe5 0.6894 0.2500 0.0700  1 U 2.11
Fe6 0.6995 0.2500 0.6861  1 U 2.10
Fe7 0.8005 0.7500 0.1861  1 U 2.10
Fe8 0.8106 0.7500 0.5700  1 U 2.11

V   309.3 Å³ per cell
Symmetry   Pnma (62)
E_tot   -134.10 eV/cell
Spin magnetization   0.000 μB/f.u.



10.
# SmU2Fe9

SmU2Fe9 after structural relaxation (PBE, Alexandria).

a = 8.7121 Å, b = 8.7121 Å, c = 8.7121 Å
α = 33.09°, β = 33.09°, γ = 33.09°
Last column: nearest neighbours and their distance in Å.
Sites, in units of the cell vectors:
Sm1 0.0000 0.0000 0.0000  18 Fe 2.86-3.21
U1 0.1472 0.1472 0.1472  12 Fe 2.91-2.95, 3 U 3.02
U2 0.8528 0.8528 0.8528  12 Fe 2.91-2.95, 3 U 3.02
Fe1 0.0830 0.5819 0.5819  7 Fe 2.48-2.53
Fe2 0.3333 0.3333 0.3333  6 Fe 2.48-2.49
Fe3 0.4181 0.4181 0.9170  7 Fe 2.48-2.53
Fe4 0.4181 0.9170 0.4181  7 Fe 2.48-2.53
Fe5 0.5000 0.5000 0.5000  6 Fe 2.53
Fe6 0.5819 0.0830 0.5819  7 Fe 2.48-2.53
Fe7 0.5819 0.5819 0.0830  7 Fe 2.48-2.53
Fe8 0.6667 0.6667 0.6667  6 Fe 2.48-2.49
Fe9 0.9170 0.4181 0.4181  7 Fe 2.48-2.53

V   175.5 Å³ per cell
Symmetry   R-3m (166)
E_tot   -104.04 eV/cell
Spin magnetization   12.837 μB/f.u.



11.
# SmUFe4

SmUFe4 after structural relaxation (PBE, Alexandria).

a = 5.6910 Å, b = 5.6910 Å, c = 6.4694 Å
α = 102.98°, β = 102.98°, γ = 74.03°
Last column: nearest neighbours and their distance in Å.
Sites, in units of the cell vectors:
Sm1 0.1532 0.1532 0.2545  10 Fe 2.91-3.23, 1 U 3.15
Sm2 0.8468 0.8468 0.7455  10 Fe 2.91-3.23, 1 U 3.15
U1 0.4164 0.4164 0.6919  5 Fe 2.19-2.43
U2 0.5836 0.5836 0.3081  5 Fe 2.19-2.43
Fe1 0.1839 0.5844 0.0749  1 U 2.43, 5 Fe 2.45-2.68
Fe2 0.1962 0.1962 0.7675  1 U 2.19
Fe3 0.2426 0.7574 0.5000  2 U 2.40, 4 Fe 2.68
Fe4 0.4156 0.8161 0.9251  1 U 2.43, 5 Fe 2.45-2.68
Fe5 0.5844 0.1839 0.0749  1 U 2.43, 5 Fe 2.45-2.68
Fe6 0.7574 0.2426 0.5000  2 U 2.40, 4 Fe 2.68
Fe7 0.8038 0.8038 0.2325  1 U 2.19
Fe8 0.8161 0.4156 0.9251  1 U 2.43, 5 Fe 2.45-2.68

V   193.3 Å³ per cell
Symmetry   C2/m (12)
Relative energy among the computed polymorphs   0.000 eV/f.u.
Spin magnetization   4.065 μB/f.u.